(1)
# ScReOs GGA-PBE optimized geometry
# N(E_F) in states/eV/atom: 0.552
# Offset from the most stable computed form in eV per atom: 0.387
# E_tot in eV per atom: -9.986
# Space-group type: P3m1, No. 156
# Formation energy from the elements in eV/atom: 0.0174
data_ScReOs
_cell_length_a 4.420
_cell_length_b 4.420
_cell_length_c 2.826
_cell_angle_alpha 90.00
_cell_angle_beta 90.00
_cell_angle_gamma 120.00
_space_group_name_H-M_alt 'P 1'
_space_group_IT_number 1
loop_
_space_group_symop_operation_xyz
'x,y,z'
loop_
_atom_site_label
_atom_site_fract_x
_atom_site_fract_y
_atom_site_fract_z
Os1 0.000 0.000 0.020
Re1 0.667 0.333 0.313
Sc1 0.333 0.667 0.667

***

(2)
# Sc2ReOs GGA-PBE optimized geometry
# N(E_F) in states/eV/atom: 1.595
# E_tot in eV per atom: -8.965
# Space-group type: R-3m, No. 166
# Formation energy from the elements in eV/atom: 0.1204
data_Sc2ReOs
_cell_length_a 9.006
_cell_length_b 9.006
_cell_length_c 9.006
_cell_angle_alpha 19.10
_cell_angle_beta 19.10
_cell_angle_gamma 19.10
_space_group_name_H-M_alt 'P 1'
_space_group_IT_number 1
loop_
_space_group_symop_operation_xyz
'x,y,z'
loop_
_atom_site_label
_atom_site_fract_x
_atom_site_fract_y
_atom_site_fract_z
Os1 0.250 0.250 0.250
Sc1 0.502 0.502 0.502
Sc2 0.998 0.998 0.998
Re1 0.750 0.750 0.750

***

(3)
# Sc2ReOs GGA-PBE optimized geometry
# N(E_F) in states/eV/atom: 1.433
# E_tot in eV per atom: -8.627
# Space-group type: R-3m, No. 166
# Formation energy from the elements in eV/atom: 0.4577
data_Sc2ReOs
_cell_length_a 9.671
_cell_length_b 9.671
_cell_length_c 9.671
_cell_angle_alpha 17.44
_cell_angle_beta 17.44
_cell_angle_gamma 17.44
_space_group_name_H-M_alt 'P 1'
_space_group_IT_number 1
loop_
_space_group_symop_operation_xyz
'x,y,z'
loop_
_atom_site_label
_atom_site_fract_x
_atom_site_fract_y
_atom_site_fract_z
Sc1 0.912 0.912 0.912
Sc2 0.088 0.088 0.088
Re1 0.500 0.500 0.500
Os1 0.000 0.000 0.000